A plane-wave DFT calculation with PBE was carried out for a relaxed SmAl2Zn3 crystal.

Properties
Total magnetization = 0.000 μB/f.u.
Fermi-level density of states = 3.65 states/eV/cell
Crystal system = monoclinic
DFT total energy = -35.24 eV per cell

The structure in extended XYZ format:
```
12
Lattice="-1.058 -2.517 -3.414 -2.499 -3.909 6.455 -4.758 5.420 -2.520" Properties=species:S:1:pos:R:3 pbc="T T T"
Sm -6.972 -0.023 -0.620
Sm -1.343 -0.983 1.141
Zn -5.062 1.574 -2.390
Zn -3.863 -0.683 -1.097
Zn -1.694 1.775 -0.783
Zn -6.621 -2.781 1.304
Zn -4.452 -0.323 1.618
Zn -3.253 -2.580 2.911
Al -4.300 1.769 0.029
Al -1.480 -0.489 -1.980
Al -4.015 -2.775 0.492
Al -6.835 -0.517 2.500
```